A relaxed Ca2BeSiC crystal. Source: Alexandria, functional GGA-PBE.

## Properties
Its formation energy without anion corrections is -0.0257 eV per atom. For the magnetic moment, the calculation gives 0.004 μB/cell. Its crystal system is tetragonal.

Geometry as CIF:
```
data_Ca2BeSiC
_chemical_formula_sum 'Ca2 Be1 Si1 C1'
_space_group_name_H-M_alt 'P 1'
_space_group_IT_number 1
_space_group_name_Hall 'P 1'
_cell_length_a 5.251
_cell_length_b 3.345
_cell_length_c 5.251
_cell_angle_alpha 90.00
_cell_angle_beta 90.00
_cell_angle_gamma 90.00
loop_
_atom_site_label
_atom_site_type_symbol
_atom_site_fract_x
_atom_site_fract_y
_atom_site_fract_z
C1 C 0.000 0.000 0.000
Be1 Be 0.000 0.500 0.000
Ca1 Ca 0.000 0.000 0.500
Ca2 Ca 0.500 0.000 0.000
Si1 Si 0.500 0.500 0.500
```